CaTc2AgSe | GGA-PBE | optimized geometry

a b c (Å): 5.1221 5.1221 5.1883
angles (deg): 90.00 90.00 90.00
Element x y z (fractional)
1 Ca 0.0000 0.0000 0.0000
2 Tc 0.0000 0.5000 0.0000
3 Tc 0.5000 0.0000 0.0000
4 Ag 0.5000 0.5000 0.5000
5 Se 0.0000 0.0000 0.5000

## Properties
Formation energy without anion corrections ... 1.898 eV/atom
Size of the total moment ... 6.9 μB per formula unit
ρ ... 5.159 g cm⁻³
Space group ... P4/mmm